K2Be2SeO6 | PBE | relaxed

calculated total energy: -5.482 eV/atom
calculated density: 3.3 g cm⁻³
total magnetic moment: 0.00 μB per formula unit

Cell and atoms, written as POSCAR:
```
K2Be2SeO6
1.0
5.207 0.000 0.000
2.603 4.509 0.000
2.603 1.503 5.802
Be O K Se
2 6 2 1
Direct
0.386 0.386 0.843
0.614 0.614 0.157
0.738 0.225 0.812
0.225 0.738 0.812
0.262 0.775 0.188
0.775 0.775 0.188
0.775 0.262 0.188
0.225 0.225 0.812
0.207 0.207 0.380
0.793 0.793 0.620
0.000 0.000 0.000
```